! CdPtI2N, optimized geometry, DFT PBE; values from VASP
&SYSTEM
  ibrav = 0, nat = 5, ntyp = 4
/
ATOMIC_SPECIES
I 126.90 I.upf
N 14.01 N.upf
Pt 195.08 Pt.upf
Cd 112.41 Cd.upf
ATOMIC_POSITIONS angstrom
I 0.000 2.913 0.000
I 2.913 0.000 0.000
N 0.000 0.000 1.878
Pt 0.000 0.000 0.000
Cd 2.913 2.913 1.878
CELL_PARAMETERS angstrom
5.827 0.000 0.000
0.000 5.827 0.000
0.000 0.000 3.756
! Uncorrected energy = -16.44 eV for the cell shown
! Energy above the lowest structure with this stoichiometry = 0.00 eV/f.u.
! DOS at the Fermi energy = 2.3 states/eV per cell
! Total magnetic moment = 0.0 Bohr magnetons per cell
! Formation energy from raw total energies = 388 meV per atom